1.
## KLiPbF6 (PBE)

Data for KLiPbF6 after structural relaxation.

a b c (Å): 5.5727 5.5727 11.4414
angles (deg): 90.00 90.00 120.00
Closest atoms and distances in Å follow each position.
Space group P-31c (No. 163)
Asymmetric unit:
K: 0.0000 0.0000 0.0000 [2 per cell]  6 F 2.70
Li: 0.3333 0.6667 0.2500 [2 per cell]  6 F 2.09
Pb: 0.3333 0.6667 0.7500 [2 per cell]  6 F 2.11
F: 0.0026 0.3760 0.1490 [12 per cell]  1 Li 2.09, 1 Pb 2.11

## Properties
Energy relative to the elements, uncorrected: -2.440 eV/atom



2.
## Pr3Sm2Dy2 (PBE)

Data for Pr3Sm2Dy2 after structural relaxation.

a b c (Å): 3.6437 6.3021 10.9253
angles (deg): 84.30 89.92 73.25
Closest atoms and distances in Å follow each position.
Space group P-1 (No. 2)
Asymmetric unit:
Pr: 0.0000 0.0000 0.0000 [1 per cell]  6 Sm 3.63-3.65, 4 Dy 3.63-3.64, 2 Pr 3.64
Pr: 0.1429 0.7151 0.5715 [2 per cell]  5 Pr 3.63-3.65, 5 Dy 3.64-3.65, 2 Sm 3.64
Sm: 0.2852 0.4302 0.1427 [2 per cell]  5 Pr 3.63-3.65, 3 Dy 3.63-3.65, 4 Sm 3.63-3.64
Dy: 0.4285 0.1435 0.7151 [2 per cell]  3 Sm 3.63-3.65, 7 Pr 3.63-3.65, 2 Dy 3.64

## Properties
Energy above the lowest structure with this stoichiometry: 0 meV/atom
Calculated formation energy: 0.016 eV per atom



3.
## Cr2TcRu (PBE)

Data for Cr2TcRu after structural relaxation.

a b c (Å): 3.7808 3.7808 3.6718
angles (deg): 90.00 90.00 90.00
Closest atoms and distances in Å follow each position.
Space group P4/mmm (No. 123)
Asymmetric unit:
Cr: 0.0000 0.5000 0.0000 [2 per cell]  4 Tc 2.64, 4 Ru 2.64, 4 Cr 2.67
Tc: 0.0000 0.0000 0.5000 [1 per cell]  8 Cr 2.64, 4 Ru 2.67
Ru: 0.5000 0.5000 0.5000 [1 per cell]  8 Cr 2.64, 4 Tc 2.67

## Properties
Calculated formation energy: 0.155 eV per atom



4.
## Li2ReP (PBE)

Data for Li2ReP after structural relaxation.

a b c (Å): 7.0423 7.0423 4.5708
angles (deg): 90.00 90.00 90.00
Closest atoms and distances in Å follow each position.
Space group I-42d (No. 122)
Asymmetric unit:
Li: 0.2151 0.2500 0.1250 [8 per cell]  2 Li 2.34, 2 P 2.39
Re: 0.0000 0.0000 0.5000 [4 per cell]  2 P 2.29
P: 0.0000 0.0000 0.0000 [4 per cell]  2 Re 2.29, 4 Li 2.39

## Properties
Calculated formation energy: 0.277 eV per atom



5.
## AcTmTlSn (PBE)

Data for AcTmTlSn after structural relaxation.

a b c (Å): 7.8874 7.8874 7.8874
angles (deg): 90.00 90.00 90.00
Closest atoms and distances in Å follow each position.
Space group F-43m (No. 216)
Asymmetric unit:
Ac: 0.0000 0.0000 0.0000 [4 per cell]  4 Tl 3.42, 4 Sn 3.42
Tm: 0.0000 0.0000 0.5000 [4 per cell]  4 Sn 3.42, 4 Tl 3.42
Tl: 0.2500 0.2500 0.7500 [4 per cell]  4 Ac 3.42, 4 Tm 3.42
Sn: 0.2500 0.2500 0.2500 [4 per cell]  4 Ac 3.42, 4 Tm 3.42

## Properties
Calculated formation energy: -0.409 eV per atom



6.
## AlGa2SnRu (PBE)

Data for AlGa2SnRu after structural relaxation.

a b c (Å): 4.7118 4.7118 5.3348
angles (deg): 90.00 90.00 90.00
Closest atoms and distances in Å follow each position.
Space group P4/mmm (No. 123)
Asymmetric unit:
Al: 0.0000 0.0000 0.0000 [1 per cell]  4 Ga 2.36
Ga: 0.0000 0.5000 0.0000 [2 per cell]  2 Al 2.36
Sn: 0.0000 0.0000 0.5000 [1 per cell]  2 Al 2.67
Ru: 0.5000 0.5000 0.5000 [1 per cell]  4 Sn 3.33, 8 Ga 3.56

## Properties
Calculated formation energy: 1.035 eV per atom



7.
## MgCrGaTc (PBE)

Data for MgCrGaTc after structural relaxation.

a b c (Å): 6.1083 6.1083 6.1083
angles (deg): 90.00 90.00 90.00
Closest atoms and distances in Å follow each position.
Space group F-43m (No. 216)
Asymmetric unit:
Mg: 0.0000 0.0000 0.0000 [4 per cell]  4 Cr 2.64, 4 Ga 2.64
Cr: 0.2500 0.2500 0.7500 [4 per cell]  4 Tc 2.64, 4 Mg 2.64
Ga: 0.2500 0.2500 0.2500 [4 per cell]  4 Mg 2.64, 4 Tc 2.64
Tc: 0.0000 0.0000 0.5000 [4 per cell]  4 Ga 2.64, 4 Cr 2.64

## Properties
Calculated formation energy: 0.046 eV per atom



8.
## LiRe2Ru (PBE)

Data for LiRe2Ru after structural relaxation.

a b c (Å): 2.7287 2.7287 27.5916
angles (deg): 90.00 90.00 120.00
Closest atoms and distances in Å follow each position.
Space group R-3m (No. 166, hexagonal axes)
Asymmetric unit:
Li: 0.0000 0.0000 0.0000 [3 per cell]  6 Li 2.73, 6 Re 2.88
Re: 0.0000 0.0000 0.2459 [6 per cell]  3 Ru 2.69, 6 Re 2.73, 3 Li 2.88
Ru: 0.0000 0.0000 0.5000 [3 per cell]  6 Re 2.69, 6 Ru 2.73

## Properties
Energy above the lowest structure with this stoichiometry: 106 meV/atom
Calculated formation energy: 0.233 eV per atom



9.
## BaInI2O (PBE)

Data for BaInI2O after structural relaxation.

a b c (Å): 6.9081 6.9081 4.5590
angles (deg): 90.00 90.00 90.00
Closest atoms and distances in Å follow each position.
Space group P4/mmm (No. 123)
Asymmetric unit:
Ba: 0.0000 0.0000 0.0000 [1 per cell]  2 O 2.28
In: 0.5000 0.5000 0.5000 [1 per cell]  8 I 4.14, 2 In 4.56
I: 0.0000 0.5000 0.0000 [2 per cell]  2 Ba 3.45
O: 0.0000 0.0000 0.5000 [1 per cell]  2 Ba 2.28

## Properties
Energy above the lowest structure with this stoichiometry: 180 meV/atom
Energy relative to the elements, uncorrected: -0.883 eV/atom



10.
## KAs2Pt (PBE)

Data for KAs2Pt after structural relaxation.

a b c (Å): 7.7472 7.7472 6.9876
angles (deg): 90.00 90.00 90.00
Closest atoms and distances in Å follow each position.
Space group I-42d (No. 122)
Asymmetric unit:
K: 0.0000 0.0000 0.0000 [4 per cell]  8 As 3.43-3.47, 2 Pt 3.49
As: 0.1531 0.2500 0.6250 [8 per cell]  2 Pt 2.43
Pt: 0.0000 0.0000 0.5000 [4 per cell]  4 As 2.43

## Properties
Energy above the lowest structure with this stoichiometry: 233 meV/atom
Calculated formation energy: -0.213 eV per atom



11.
## PmYAl4 (PBE)

Data for PmYAl4 after structural relaxation.

a b c (Å): 7.9427 7.9427 7.9427
angles (deg): 90.00 90.00 90.00
Closest atoms and distances in Å follow each position.
Space group F-43m (No. 216)
Asymmetric unit:
Pm: 0.0000 0.0000 0.0000 [4 per cell]  12 Al 3.29, 4 Y 3.44
Y: 0.2500 0.2500 0.7500 [4 per cell]  12 Al 3.29, 4 Pm 3.44
Al: 0.1249 0.1249 0.3751 [16 per cell]  6 Al 2.81

## Properties
Calculated formation energy: -0.515 eV per atom



12.
## Sm2SnHg (PBE)

Data for Sm2SnHg after structural relaxation.

a b c (Å): 5.2734 5.2734 3.9772
angles (deg): 90.00 90.00 90.00
Closest atoms and distances in Å follow each position.
Space group P4/mmm (No. 123)
Asymmetric unit:
Sm: 0.0000 0.5000 0.0000 [2 per cell]  4 Hg 3.30, 4 Sn 3.30
Sn: 0.0000 0.0000 0.5000 [1 per cell]  8 Sm 3.30
Hg: 0.5000 0.5000 0.5000 [1 per cell]  8 Sm 3.30

## Properties
Calculated formation energy: -0.596 eV per atom



13.
## BiPt3Au3 (PBE)

Data for BiPt3Au3 after structural relaxation.

a b c (Å): 7.2215 7.2215 7.2215
angles (deg): 90.00 90.00 90.00
Closest atoms and distances in Å follow each position.
Space group Pm-3n (No. 223)
Asymmetric unit:
Bi: 0.0000 0.0000 0.0000 [2 per cell]  12 Pt 4.04, 12 Au 4.04
Pt: 0.0000 0.2500 0.5000 [6 per cell]  4 Au 2.55
Au: 0.0000 0.5000 0.2500 [6 per cell]  4 Pt 2.55

## Properties
Calculated formation energy: 0.915 eV per atom



14.
## LaCeRu2 (PBE)

Data for LaCeRu2 after structural relaxation.

a b c (Å): 6.2243 6.2329 10.2568
angles (deg): 90.00 111.52 90.00
Closest atoms and distances in Å follow each position.
Space group P2/c (No. 13)
Asymmetric unit:
La: 0.1941 0.1354 0.1530 [4 per cell]  3 Ru 2.87-3.15
Ce: 0.3171 0.3658 0.8469 [4 per cell]  2 Ru 2.31-2.54
Ru: 0.1539 0.3843 0.6052 [4 per cell]  1 Ce 2.31
Ru: 0.3755 0.1722 0.4524 [4 per cell]  1 Ce 2.54, 2 Ru 2.62-2.77

## Properties
Calculated formation energy: -0.288 eV per atom



15.
## SbAsBr2 (PBE)

Data for SbAsBr2 after structural relaxation.

a b c (Å): 7.3428 7.3428 7.3428
angles (deg): 90.00 90.00 90.00
Closest atoms and distances in Å follow each position.
Space group Fm-3m (No. 225)
Asymmetric unit:
Sb: 0.0000 0.0000 0.0000 [4 per cell]  8 Br 3.18
As: 0.0000 0.0000 0.5000 [4 per cell]  8 Br 3.18
Br: 0.2500 0.2500 0.2500 [8 per cell]  4 Sb 3.18, 4 As 3.18

## Properties
Energy above the lowest structure with this stoichiometry: 750 meV/atom
Energy relative to the elements, uncorrected: 0.480 eV/atom



16.
## RePtAu4 (PBE)

Data for RePtAu4 after structural relaxation.

a b c (Å): 7.6067 7.6067 7.6067
angles (deg): 90.00 90.00 90.00
Closest atoms and distances in Å follow each position.
Space group F-43m (No. 216)
Asymmetric unit:
Re: 0.0000 0.0000 0.0000 [4 per cell]  12 Au 3.15, 4 Pt 3.29
Pt: 0.2500 0.2500 0.2500 [4 per cell]  12 Au 3.15, 4 Re 3.29
Au: 0.1250 0.1250 0.6250 [16 per cell]  6 Au 2.69

## Properties
Calculated formation energy: 0.787 eV per atom



17.
## VSb2ICl (PBE)

Data for VSb2ICl after structural relaxation.

a b c (Å): 5.1449 5.1449 5.2737
angles (deg): 90.00 90.00 90.00
Closest atoms and distances in Å follow each position.
Space group P4/mmm (No. 123)
Asymmetric unit:
V: 0.0000 0.0000 0.0000 [1 per cell]  4 Sb 2.57, 2 I 2.64
Sb: 0.0000 0.5000 0.0000 [2 per cell]  2 V 2.57
I: 0.0000 0.0000 0.5000 [1 per cell]  2 V 2.64
Cl: 0.5000 0.5000 0.5000 [1 per cell]  4 I 3.64, 8 Sb 3.68

## Properties
Energy above the lowest structure with this stoichiometry: 0 meV/atom
Energy relative to the elements, uncorrected: 0.120 eV/atom



18.
## NdRu2C (PBE)

Data for NdRu2C after structural relaxation.

a b c (Å): 5.0658 7.9834 3.2094
angles (deg): 90.00 90.00 90.00
Closest atoms and distances in Å follow each position.
Space group Cmmm (No. 65)
Asymmetric unit:
Nd: 0.0000 0.0000 0.0000 [2 per cell]  2 C 2.53
Ru: 0.0000 0.3384 0.5000 [4 per cell]  2 C 2.06
C: 0.0000 0.5000 0.0000 [2 per cell]  4 Ru 2.06

## Properties
Energy above the lowest structure with this stoichiometry: 0 meV/atom
Calculated formation energy: 0.101 eV per atom



19.
## Zr2Zn2Cd3 (PBE)

Data for Zr2Zn2Cd3 after structural relaxation.

a b c (Å): 10.0835 4.3260 6.5080
angles (deg): 90.00 97.81 90.00
Closest atoms and distances in Å follow each position.
Space group C2/m (No. 12)
Asymmetric unit:
Zr: 0.1109 0.0000 0.3499 [4 per cell]  5 Zn 2.82-3.07
Zn: 0.1027 0.5000 0.6252 [4 per cell]  1 Zn 2.46, 2 Cd 2.71
Cd: 0.0000 0.5000 0.0000 [2 per cell]  2 Zn 2.78, 2 Cd 3.04
Cd: 0.2014 0.0000 0.8475 [4 per cell]  2 Zn 2.71, 3 Cd 3.01-3.04

## Properties
Energy above the lowest structure with this stoichiometry: 42 meV/atom
Calculated formation energy: -0.100 eV per atom



20.
## BiOs2PtN (PBE)

Data for BiOs2PtN after structural relaxation.

a b c (Å): 4.7702 4.7702 5.5755
angles (deg): 90.00 90.00 90.00
Closest atoms and distances in Å follow each position.
Space group P4/mmm (No. 123)
Asymmetric unit:
Bi: 0.0000 0.0000 0.0000 [1 per cell]  2 Pt 2.79
Os: 0.0000 0.5000 0.5000 [2 per cell]  2 Pt 2.39
Pt: 0.0000 0.0000 0.5000 [1 per cell]  4 Os 2.39
N: 0.5000 0.5000 0.0000 [1 per cell]  4 Bi 3.37, 8 Os 3.67

## Properties
Energy relative to the elements, uncorrected: 2.932 eV/atom



21.
## Ce3PmGa4 (PBE)

Data for Ce3PmGa4 after structural relaxation.

a b c (Å): 3.5861 5.2028 10.4236
angles (deg): 90.00 90.00 90.00
Closest atoms and distances in Å follow each position.
Space group Pmmm (No. 47)
Asymmetric unit:
Ce: 0.0000 0.0000 0.0000 [1 per cell]  8 Ga 3.16-3.18
Ce: 0.0000 0.5000 0.2475 [2 per cell]  8 Ga 3.14-3.18
Pm: 0.0000 0.0000 0.5000 [1 per cell]  8 Ga 3.15-3.16
Ga: 0.5000 0.0000 0.2515 [2 per cell]  2 Pm 3.15, 6 Ce 3.16-3.18
Ga: 0.5000 0.5000 0.0000 [1 per cell]  8 Ce 3.14-3.16
Ga: 0.5000 0.5000 0.5000 [1 per cell]  4 Pm 3.16, 4 Ce 3.18

## Properties
Energy above the lowest structure with this stoichiometry: 0 meV/atom
Calculated formation energy: -0.473 eV per atom



22.
## Ba4Zn3In (PBE)

Data for Ba4Zn3In after structural relaxation.

a b c (Å): 17.6221 5.8923 5.8933
angles (deg): 90.00 109.46 90.00
Closest atoms and distances in Å follow each position.
Space group C2/m (No. 12)
Asymmetric unit:
Ba: 0.1274 0.0000 0.1274 [4 per cell]  6 Zn 3.57-3.63, 2 In 3.63
Ba: 0.1274 0.5000 0.6274 [4 per cell]  6 Zn 3.57-3.63, 2 In 3.63
Zn: 0.0000 0.0000 0.5000 [2 per cell]  8 Ba 3.63
Zn: 0.2487 0.5000 0.2486 [4 per cell]  8 Ba 3.57-3.60
In: 0.0000 0.5000 0.0000 [2 per cell]  8 Ba 3.63

## Properties
Energy above the lowest structure with this stoichiometry: 0 meV/atom
Calculated formation energy: -0.223 eV per atom



23.
## KOs (PBE)

Data for KOs after structural relaxation.

a b c (Å): 6.9801 6.9801 6.6948
angles (deg): 90.00 90.00 90.00
Closest atoms and distances in Å follow each position.
Space group P4_2/mnm (No. 136)
Asymmetric unit:
K: 0.1810 0.1810 0.0000 [4 per cell]  4 Os 3.34-3.41, 1 K 3.57
Os: 0.1128 0.1128 0.5000 [4 per cell]  1 Os 2.23

## Properties
Energy above the lowest structure with this stoichiometry: 1359 meV/atom
Calculated formation energy: 2.057 eV per atom



24.
## VZnSeBr2 (PBE)

Data for VZnSeBr2 after structural relaxation.

a b c (Å): 5.1983 5.1983 4.8037
angles (deg): 90.00 90.00 90.00
Closest atoms and distances in Å follow each position.
Space group P4/mmm (No. 123)
Asymmetric unit:
V: 0.0000 0.0000 0.0000 [1 per cell]  2 Se 2.40, 4 Br 2.60
Zn: 0.5000 0.5000 0.5000 [1 per cell]  8 Br 3.54, 4 Se 3.68
Se: 0.0000 0.0000 0.5000 [1 per cell]  2 V 2.40
Br: 0.0000 0.5000 0.0000 [2 per cell]  2 V 2.60

## Properties
Energy above the lowest structure with this stoichiometry: 0 meV/atom
Energy relative to the elements, uncorrected: -0.176 eV/atom



25.
## CaCu2W (PBE)

Data for CaCu2W after structural relaxation.

a b c (Å): 2.8619 2.8619 8.0703
angles (deg): 90.00 90.00 90.00
Closest atoms and distances in Å follow each position.
Space group P4mm (No. 99)
Asymmetric unit:
Ca: 0.0000 0.0000 0.0000 [1 per cell]  4 Ca 2.86, 4 Cu 3.06
Cu: 0.0000 0.0000 0.4676 [1 per cell]  4 Cu 2.50, 4 W 2.70
Cu: 0.5000 0.5000 0.2848 [1 per cell]  4 Cu 2.50
W: 0.5000 0.5000 0.6891 [1 per cell]  4 Cu 2.70, 4 W 2.86

## Properties
Energy above the lowest structure with this stoichiometry: 47 meV/atom
Calculated formation energy: 0.446 eV per atom